{"formula": "CuAgPd", "functional": "PBE-GGA", "state": "relaxed", "cell": [[5.899, 0.000, 0.000], [0.000, 5.899, 0.000], [0.000, 0.000, 5.899]], "species": ["Cu", "Cu", "Cu", "Cu", "Ag", "Ag", "Ag", "Ag", "Pd", "Pd", "Pd", "Pd"], "frac_coords": [[0.000, 0.000, 0.000], [0.000, 0.500, 0.500], [0.500, 0.000, 0.500], [0.500, 0.500, 0.000], [0.250, 0.250, 0.750], [0.250, 0.750, 0.250], [0.750, 0.250, 0.250], [0.750, 0.750, 0.750], [0.250, 0.250, 0.250], [0.250, 0.750, 0.750], [0.750, 0.250, 0.750], [0.750, 0.750, 0.250]], "space_group": "F-43m, No. 216", "crystal_system": "cubic", "relative_energy_ev_per_atom": 0.000, "final_energy_ry_per_atom": -0.2727}

---

{"formula": "CuPt3N6", "functional": "PBE-GGA", "state": "relaxed", "cell": [[3.643, -5.099, 0.000], [3.643, 5.099, 0.000], [0.000, 0.000, 3.098]], "species": ["Cu", "Pt", "Pt", "Pt", "N", "N", "N", "N", "N", "N"], "frac_coords": [[0.000, 0.000, 0.000], [0.000, 0.500, 0.500], [0.500, 0.000, 0.500], [0.500, 0.500, 0.000], [0.128, 0.872, 0.500], [0.184, 0.472, 0.000], [0.472, 0.184, 0.000], [0.528, 0.816, 0.000], [0.816, 0.528, 0.000], [0.872, 0.128, 0.500]], "m_tot_mub_per_cell": 0.08, "space_group": "Cmmm, No. 65", "crystal_system": "orthorhombic", "final_energy_ry_per_atom": -0.4486}

---

{"formula": "Pr3Si4Ni2Ag2", "functional": "PBE-GGA", "state": "relaxed", "cell": [[-2.068, 2.131, 12.294], [2.068, -2.131, 12.294], [2.068, 2.131, -12.294]], "species": ["Pr", "Pr", "Pr", "Si", "Si", "Si", "Si", "Ni", "Ni", "Ag", "Ag"], "frac_coords": [[0.000, 0.000, 0.000], [0.344, 0.844, 0.500], [0.656, 0.156, 0.500], [0.206, 0.706, 0.500], [0.452, 0.452, 0.000], [0.548, 0.548, 0.000], [0.794, 0.294, 0.500], [0.250, 0.250, 0.000], [0.750, 0.750, 0.000], [0.102, 0.602, 0.500], [0.898, 0.398, 0.500]], "m_tot_mub_per_cell": 0.00, "space_group": "Immm, No. 71", "crystal_system": "orthorhombic", "final_energy_ry_per_atom": -0.3993}

---

{"formula": "ZrNbNiB", "functional": "PBE-GGA", "state": "relaxed", "cell": [[6.124, 0.000, 0.000], [0.000, 6.124, 0.000], [0.000, 0.000, 6.124]], "species": ["Zr", "Zr", "Zr", "Zr", "Nb", "Nb", "Nb", "Nb", "Ni", "Ni", "Ni", "Ni", "B", "B", "B", "B"], "frac_coords": [[0.000, 0.000, 0.000], [0.000, 0.500, 0.500], [0.500, 0.000, 0.500], [0.500, 0.500, 0.000], [0.000, 0.000, 0.500], [0.000, 0.500, 0.000], [0.500, 0.000, 0.000], [0.500, 0.500, 0.500], [0.250, 0.250, 0.750], [0.250, 0.750, 0.250], [0.750, 0.250, 0.250], [0.750, 0.750, 0.750], [0.250, 0.250, 0.250], [0.250, 0.750, 0.750], [0.750, 0.250, 0.750], [0.750, 0.750, 0.250]], "m_tot_mub_per_cell": 1.15, "space_group": "F-43m, No. 216", "crystal_system": "cubic", "relative_energy_ev_per_atom": 0.000, "final_energy_ry_per_atom": -0.5646}